No. 1
# Tc2AsPb, relaxed, DFT GGA-PBE
# * calculated total energy: -6.8948 eV/atom
# * energy relative to the lowest polymorph listed for this composition: 240 meV/atom
# * volume: 18.2 Å³/atom
# * DOS(E_F): 1.11 states/eV/atom
data_Tc2AsPb
_chemical_formula_sum 'Tc2 As1 Pb1'
_cell_length_a 3.121
_cell_length_b 4.683
_cell_length_c 4.987
_cell_angle_alpha 90.00
_cell_angle_beta 94.27
_cell_angle_gamma 90.00
_symmetry_space_group_name_H-M 'P 1 m 1'
_symmetry_Int_Tables_number 6
_symmetry_space_group_name_Hall 'P -2y'
loop_
_atom_site_label
_atom_site_fract_x
_atom_site_fract_y
_atom_site_fract_z
Tc1 0.000 0.000 0.000
Tc2 0.454 0.500 0.828
As1 0.999 0.500 0.213
Pb1 0.511 0.000 0.510

No. 2
# Sm2AgHg5, relaxed, DFT GGA-PBE
# * calculated total energy: -1.9216 eV/atom
# * energy relative to the lowest polymorph listed for this composition: 45 meV/atom
# * volume: 27.0 Å³/atom
# * DOS(E_F): 0.47 states/eV/atom
data_Sm2AgHg5
_chemical_formula_sum 'Sm6 Ag3 Hg15'
_cell_length_a 4.7728
_cell_length_b 4.7728
_cell_length_c 32.8134
_cell_angle_alpha 90.00
_cell_angle_beta 90.00
_cell_angle_gamma 120.00
_symmetry_space_group_name_H-M 'R -3 m'
_symmetry_Int_Tables_number 166
_symmetry_space_group_name_Hall '-R 3 2"'
loop_
_atom_site_label
_atom_site_fract_x
_atom_site_fract_y
_atom_site_fract_z
Sm1 0.0000 0.0000 0.0939
Ag1 0.0000 0.0000 0.0000
Hg1 0.0000 0.0000 0.2003
Hg2 0.0000 0.0000 0.3706
Hg3 0.0000 0.0000 0.5000

No. 3
# KLiMg2Ag, relaxed, DFT GGA-PBE
# * calculated total energy: -1.7586 eV/atom
# * volume: 30.1 Å³/atom
# * DOS(E_F): 0.39 states/eV/atom
data_KLiMg2Ag
_chemical_formula_sum 'K1 Li1 Mg2 Ag1'
_cell_length_a 5.303
_cell_length_b 5.303
_cell_length_c 5.343
_cell_angle_alpha 90.00
_cell_angle_beta 90.00
_cell_angle_gamma 90.00
_symmetry_space_group_name_H-M 'P 4/m m m'
_symmetry_Int_Tables_number 123
_symmetry_space_group_name_Hall '-P 4 2'
loop_
_atom_site_label
_atom_site_fract_x
_atom_site_fract_y
_atom_site_fract_z
K1 0.000 0.000 0.000
Li1 0.500 0.500 0.000
Mg1 0.000 0.500 0.500
Ag1 0.500 0.500 0.500

No. 4
# K4Hg, relaxed, DFT GGA-PBE
# * calculated total energy: -0.9852 eV/atom
# * energy relative to the lowest polymorph listed for this composition: 47 meV/atom
# * volume: 60.2 Å³/atom
# * DOS(E_F): 0.68 states/eV/atom
data_K4Hg
_chemical_formula_sum 'K8 Hg2'
_cell_length_a 8.444
_cell_length_b 8.444
_cell_length_c 8.444
_cell_angle_alpha 90.00
_cell_angle_beta 90.00
_cell_angle_gamma 90.00
_symmetry_space_group_name_H-M 'I m -3 m'
_symmetry_Int_Tables_number 229
_symmetry_space_group_name_Hall '-I 4 2 3'
loop_
_atom_site_label
_atom_site_fract_x
_atom_site_fract_y
_atom_site_fract_z
K1 0.250 0.250 0.250
Hg1 0.000 0.000 0.000

No. 5
# LiYTl2Si, relaxed, DFT GGA-PBE
# * calculated total energy: -3.4782 eV/atom
# * energy relative to the elements, uncorrected: 0.229 eV per atom
# * volume: 30.3 Å³/atom
# * DOS(E_F): 0.57 states/eV/atom
data_LiYTl2Si
_chemical_formula_sum 'Li1 Y1 Tl2 Si1'
_cell_length_a 5.307
_cell_length_b 5.307
_cell_length_c 5.381
_cell_angle_alpha 90.00
_cell_angle_beta 90.00
_cell_angle_gamma 90.00
_symmetry_space_group_name_H-M 'P 4/m m m'
_symmetry_Int_Tables_number 123
_symmetry_space_group_name_Hall '-P 4 2'
loop_
_atom_site_label
_atom_site_fract_x
_atom_site_fract_y
_atom_site_fract_z
Li1 0.000 0.000 0.000
Y1 0.500 0.500 0.000
Tl1 0.000 0.500 0.500
Si1 0.500 0.500 0.500

No. 6
# Ba3Li3Ag8, relaxed, DFT GGA-PBE
# * calculated total energy: -2.6555 eV/atom
# * volume: 25.1 Å³/atom
# * DOS(E_F): 0.39 states/eV/atom
data_Ba3Li3Ag8
_chemical_formula_sum 'Ba6 Li6 Ag16'
_cell_length_a 4.876
_cell_length_b 10.254
_cell_length_c 14.047
_cell_angle_alpha 90.00
_cell_angle_beta 90.00
_cell_angle_gamma 90.00
_symmetry_space_group_name_H-M 'I m m m'
_symmetry_Int_Tables_number 71
_symmetry_space_group_name_Hall '-I 2 2'
loop_
_atom_site_label
_atom_site_fract_x
_atom_site_fract_y
_atom_site_fract_z
Ba1 0.000 0.000 0.000
Ba2 0.000 0.000 0.296
Li1 0.000 0.215 0.500
Li2 0.000 0.500 0.000
Ag1 0.000 0.286 0.114
Ag2 0.000 0.349 0.330

No. 7
# YIr2Ru2, relaxed, DFT GGA-PBE
# * calculated total energy: -8.6841 eV/atom
# * energy relative to the lowest polymorph listed for this composition: 0 meV/atom
# * volume: 16.5 Å³/atom
# * DOS(E_F): 0.99 states/eV/atom
data_YIr2Ru2
_chemical_formula_sum 'Y2 Ir4 Ru4'
_cell_length_a 7.660
_cell_length_b 7.660
_cell_length_c 2.814
_cell_angle_alpha 90.00
_cell_angle_beta 90.00
_cell_angle_gamma 90.00
_symmetry_space_group_name_H-M 'P 4/m b m'
_symmetry_Int_Tables_number 127
_symmetry_space_group_name_Hall '-P 4 2ab'
loop_
_atom_site_label
_atom_site_fract_x
_atom_site_fract_y
_atom_site_fract_z
Y1 0.000 0.000 0.000
Ir1 0.178 0.322 0.500
Ru1 0.119 0.619 0.000

No. 8
# CaPr5Pb4, relaxed, DFT GGA-PBE
# * calculated total energy: -4.2886 eV/atom
# * volume: 36.8 Å³/atom
# * DOS(E_F): 0.73 states/eV/atom
data_CaPr5Pb4
_chemical_formula_sum 'Ca2 Pr10 Pb8'
_cell_length_a 21.829
_cell_length_b 3.806
_cell_length_c 9.956
_cell_angle_alpha 90.00
_cell_angle_beta 117.03
_cell_angle_gamma 90.00
_symmetry_space_group_name_H-M 'C 1 2/m 1'
_symmetry_Int_Tables_number 12
_symmetry_space_group_name_Hall '-C 2y'
loop_
_atom_site_label
_atom_site_fract_x
_atom_site_fract_y
_atom_site_fract_z
Ca1 0.000 0.000 0.000
Pr1 0.000 0.000 0.500
Pr2 0.163 0.500 0.433
Pr3 0.164 0.500 0.896
Pb1 0.000 0.500 0.246
Pb2 0.200 0.000 0.201

What did the first record say?
# Tc2AsPb, relaxed, DFT GGA-PBE
# * calculated total energy: -6.8948 eV/atom
# * energy relative to the lowest polymorph listed for this composition: 240 meV/atom
# * volume: 18.2 Å³/atom
# * DOS(E_F): 1.11 states/eV/atom
data_Tc2AsPb
_chemical_formula_sum 'Tc2 As1 Pb1'
_cell_length_a 3.121
_cell_length_b 4.683
_cell_length_c 4.987
_cell_angle_alpha 90.00
_cell_angle_beta 94.27
_cell_angle_gamma 90.00
_symmetry_space_group_name_H-M 'P 1 m 1'
_symmetry_Int_Tables_number 6
_symmetry_space_group_name_Hall 'P -2y'
loop_
_atom_site_label
_atom_site_fract_x
_atom_site_fract_y
_atom_site_fract_z
Tc1 0.000 0.000 0.000
Tc2 0.454 0.500 0.828
As1 0.999 0.500 0.213
Pb1 0.511 0.000 0.510

- Among the records above, which one has the highest volume?
  K4Hg